# Gd2Mo3O12 | Alexandria via LeMat-Bulk | PBE with a Hubbard U | relaxed
data_Gd2Mo3O12
_chemical_formula_sum 'Gd8 Mo12 O48'
_space_group_name_H-M_alt 'C 1 2/c 1'
_space_group_IT_number 15
_space_group_name_Hall '-C 2yc'
_cell_length_a 7.7689
_cell_length_b 11.6574
_cell_length_c 11.5169
_cell_angle_alpha 90.00
_cell_angle_beta 109.68
_cell_angle_gamma 90.00
loop_
_atom_site_label
_atom_site_type_symbol
_atom_site_fract_x
_atom_site_fract_y
_atom_site_fract_z
Gd1 Gd 0.1664 0.1220 0.0918
Mo1 Mo 0.0000 0.1310 0.7500
Mo2 Mo 0.1452 0.3933 0.5497
O1 O 0.0519 0.2839 0.4414
O2 O 0.0643 0.4612 0.9253
O3 O 0.1293 0.2086 0.8909
O4 O 0.1348 0.0509 0.4616
O5 O 0.1648 0.0427 0.7183
O6 O 0.2252 0.3251 0.6989
# * VASP energy: -146.65 eV per formula unit
# * offset from the most stable computed form: 21 meV/atom
# * V: 982.1 Å³ per cell